A geometry-optimized ErLuSb2 structure. Source: Alexandria, functional PBE-GGA.

abc: 4.3326 4.3326 21.2097
angles: 90.00 90.00 120.00
With the nearest neighbours (Å) after each atom.
Space group R-3m (No. 166, hexagonal axes)
Asymmetric unit:
Er 0.0000 0.0000 0.0000  6 Sb 3.08
Lu 0.0000 0.0000 0.5000  6 Sb 3.05
Sb 0.0000 0.0000 0.2490  3 Lu 3.05, 3 Er 3.08

**Electronic total energy**: -5.39 eV per atom
**Volume**: 28.732 A^3/atom
**Formation energy without anion corrections**: -1.056 eV/atom

A geometry-optimized ErLuSc2 structure. Source: Alexandria, functional PBE-GGA.

abc: 4.7999 4.7999 4.7099
angles: 90.00 90.00 90.00
With the nearest neighbours (Å) after each atom.
Space group P4/mmm (No. 123)
Asymmetric unit:
Er 0.0000 0.0000 0.0000  8 Sc 3.36, 4 Lu 3.39
Lu 0.5000 0.5000 0.0000  8 Sc 3.36, 4 Er 3.39
Sc 0.0000 0.5000 0.5000  4 Er 3.36, 4 Lu 3.36, 4 Sc 3.39

**Formation energy from the elements**: 0.05 eV/atom
**Polymorph energy (0 for the lowest one)**: 0.002 eV per atom
**Electronic total energy**: -5.38 eV per atom
**Volume**: 27.127 A^3/atom